Record 1
Computed, not measured: crystalline Gd3Ge at its relaxed geometry at the PBE level of DFT.

Calculated values
DFT formation energy ... -0.239 eV per atom
SG ... No. 25
Spin magnetization ... 7.569 μB/f.u.
Crystal system ... orthorhombic

Geometry as POSCAR:
```
Gd3Ge
1.0
-0.675 3.446 0.145
-3.774 -0.587 -3.595
-3.887 -0.939 4.234
Ge Gd
1 3
Cartesian
-3.593 -0.868 3.913
-2.783 -0.510 -0.821
-5.243 0.700 1.563
-1.900 1.345 1.774
```

***

Record 2
Computed, not measured: crystalline Gd3Ge at its relaxed geometry at the PBE level of DFT.

Calculated values
DFT formation energy ... -0.325 eV per atom
SG ... No. 139
Spin magnetization ... 22.555 μB/f.u.
Crystal system ... tetragonal

Geometry as POSCAR:
```
Gd3Ge
1.0
4.595 0.000 0.000
0.000 4.595 0.000
-2.298 -2.298 5.035
Ge Gd
1 3
Cartesian
0.000 0.000 0.000
2.298 0.000 2.518
0.000 2.298 2.518
2.298 2.298 0.000
```

***

Record 3
Computed, not measured: crystalline GdGe2 at its relaxed geometry at the PBE level of DFT.

Calculated values
DFT formation energy ... -0.382 eV per atom
SG ... No. 227
Spin magnetization ... 7.481 μB/f.u.
Crystal system ... cubic

Geometry as POSCAR:
```
GdGe2
1.0
-3.081 -0.334 4.727
-4.342 -3.608 0.295
0.354 -4.586 3.286
Ge Gd
4 2
Cartesian
-2.878 -5.163 2.829
-2.248 -3.526 5.046
-4.419 -5.330 5.193
-4.595 -3.037 3.550
0.000 0.000 0.000
-1.767 -2.132 2.077
```

***

Record 4
Computed, not measured: crystalline Gd3GeH at its relaxed geometry at the PBE level of DFT.

Calculated values
E_tot ... -52.4 eV for the cell shown
SG ... No. 221
Spin magnetization ... 22.859 μB/f.u.
Crystal system ... cubic

Geometry as POSCAR:
```
Gd3GeH
1.0
-0.116 -2.418 4.092
4.612 0.931 0.681
-1.148 3.986 2.323
H Ge Gd
1 1 3
Cartesian
0.000 0.000 0.000
1.674 1.250 3.548
2.306 0.465 0.341
-0.574 1.993 1.161
-0.058 -1.209 2.046
```

***

Record 5
Computed, not measured: crystalline Gd2GeH at its relaxed geometry at the PBE level of DFT.

Calculated values
E_tot ... -38.3 eV for the cell shown
SG ... No. 166
Spin magnetization ... 14.755 μB/f.u.
Crystal system ... trigonal

Geometry as POSCAR:
```
Gd2GeH
1.0
4.094 0.000 0.000
2.047 3.545 0.000
2.047 1.182 5.891
H Ge Gd
1 1 2
Cartesian
0.000 0.000 0.000
4.094 2.363 2.946
2.047 1.182 1.340
6.140 3.545 4.551
```

***

Record 6
Computed, not measured: crystalline GdHgGe4 at its relaxed geometry at the PBE level of DFT.

Calculated values
DFT formation energy ... -0.176 eV per atom
SG ... No. 216
Spin magnetization ... 7.037 μB/f.u.
Crystal system ... cubic

Geometry as POSCAR:
```
GdHgGe4
1.0
-2.664 -4.406 2.296
2.293 -5.143 -0.287
2.062 -2.430 4.650
Ge Gd Hg
4 1 1
Cartesian
0.030 -6.270 1.846
-0.084 -4.922 4.300
1.055 -7.478 4.157
2.379 -5.288 3.016
0.423 -2.995 1.665
0.000 0.000 0.000
```